No. 1
## CaCSe2Br (meta-GGA SCAN)

Data for a crystal of CaCSe2Br relaxed with PBEsol.

- Space-group type: P4/mmm
- ΔE_f (raw): 1.024 eV per atom
- Uncorrected energy: -14.852 eV/atom

a b c (Å): 5.621 5.621 5.353
angles (deg): 90.00 90.00 90.00
Fractional coordinates of all 5 atoms:
Ca 0.000 0.000 0.000
C 0.500 0.500 0.500
Se 0.000 0.500 0.000
Se 0.500 0.000 0.000
Br 0.000 0.000 0.500



No. 2
## CaW2CBr (meta-GGA SCAN)

Data for a crystal of CaW2CBr relaxed with PBEsol.

- Space-group type: P4/mmm
- ΔE_f (raw): 2.950 eV per atom
- Uncorrected energy: -32.770 eV/atom

a b c (Å): 4.524 4.524 5.323
angles (deg): 90.00 90.00 90.00
Fractional coordinates of all 5 atoms:
Ca 0.000 0.000 0.000
W 0.000 0.500 0.500
W 0.500 0.000 0.500
C 0.500 0.500 0.000
Br 0.000 0.000 0.500



No. 3
## Cd2SbCBr (meta-GGA SCAN)

Data for a crystal of Cd2SbCBr relaxed with PBEsol.

- Space-group type: P4/mmm
- ΔE_f (raw): 0.869 eV per atom
- Uncorrected energy: -24.661 eV/atom

a b c (Å): 4.441 4.441 5.339
angles (deg): 90.00 90.00 90.00
Fractional coordinates of all 5 atoms:
Cd 0.000 0.500 0.000
Cd 0.500 0.000 0.000
Sb 0.000 0.000 0.500
C 0.500 0.500 0.000
Br 0.500 0.500 0.500



No. 4
## InCBr2Cl (meta-GGA SCAN)

Data for a crystal of InCBr2Cl relaxed with PBEsol.

- Space-group type: P4/mmm
- ΔE_f (raw): 1.063 eV per atom
- Uncorrected energy: -17.013 eV/atom

a b c (Å): 6.380 6.380 3.362
angles (deg): 90.00 90.00 90.00
Fractional coordinates of all 5 atoms:
In 0.000 0.000 0.000
C 0.500 0.500 0.000
Br 0.000 0.500 0.500
Br 0.500 0.000 0.500
Cl 0.500 0.500 0.500



No. 5
## CoCBr2 (meta-GGA SCAN)

Data for a crystal of CoCBr2 relaxed with PBEsol.

- Space-group type: R-3m
- ΔE_f (raw): 1.794 eV per atom
- Uncorrected energy: -14.786 eV/atom

a b c (Å): 7.627 7.627 7.627
angles (deg): 25.43 25.43 25.43
Fractional coordinates of all 4 atoms:
Co 0.000 0.000 0.000
C 0.500 0.500 0.500
Br 0.100 0.100 0.100
Br 0.900 0.900 0.900



No. 6
## Li2CoCBr (meta-GGA SCAN)

Data for a crystal of Li2CoCBr relaxed with PBEsol.

- Space-group type: P4/mmm
- ΔE_f (raw): 1.315 eV per atom
- Uncorrected energy: -9.013 eV/atom

a b c (Å): 4.809 4.809 4.184
angles (deg): 90.00 90.00 90.00
Fractional coordinates of all 5 atoms:
Li 0.000 0.500 0.000
Li 0.500 0.000 0.000
Co 0.000 0.000 0.000
C 0.500 0.500 0.500
Br 0.000 0.000 0.500



No. 7
## CoMo2CBr (meta-GGA SCAN)

Data for a crystal of CoMo2CBr relaxed with PBEsol.

- Space-group type: P4/mmm
- ΔE_f (raw): 2.669 eV per atom
- Uncorrected energy: -20.658 eV/atom

a b c (Å): 4.639 4.639 3.725
angles (deg): 90.00 90.00 90.00
Fractional coordinates of all 5 atoms:
Co 0.000 0.000 0.000
Mo 0.000 0.500 0.500
Mo 0.500 0.000 0.500
C 0.500 0.500 0.000
Br 0.500 0.500 0.500



No. 8
## CoCSe2Br (meta-GGA SCAN)

Data for a crystal of CoCSe2Br relaxed with PBEsol.

- Space-group type: P4/mmm
- ΔE_f (raw): 1.590 eV per atom
- Uncorrected energy: -15.814 eV/atom

a b c (Å): 4.493 4.493 4.865
angles (deg): 90.00 90.00 90.00
Fractional coordinates of all 5 atoms:
Co 0.000 0.000 0.000
C 0.500 0.500 0.500
Se 0.000 0.500 0.000
Se 0.500 0.000 0.000
Br 0.000 0.000 0.500



No. 9
## CrFeCBr2 (meta-GGA SCAN)

Data for a crystal of CrFeCBr2 relaxed with PBEsol.

- Space-group type: P4/mmm
- ΔE_f (raw): 1.860 eV per atom
- Uncorrected energy: -15.246 eV/atom

a b c (Å): 4.733 4.733 4.400
angles (deg): 90.00 90.00 90.00
Fractional coordinates of all 5 atoms:
Cr 0.000 0.000 0.000
Fe 0.000 0.000 0.500
C 0.500 0.500 0.500
Br 0.000 0.500 0.000
Br 0.500 0.000 0.000



No. 10
## Cu3CBr (meta-GGA SCAN)

Data for a crystal of Cu3CBr relaxed with PBEsol.

- Space-group type: Pm-3m
- ΔE_f (raw): 0.676 eV per atom
- Uncorrected energy: -14.356 eV/atom

a b c (Å): 4.000 4.000 4.000
angles (deg): 90.00 90.00 90.00
Fractional coordinates of all 5 atoms:
Cu 0.000 0.000 0.500
Cu 0.000 0.500 0.000
Cu 0.500 0.000 0.000
C 0.000 0.000 0.000
Br 0.500 0.500 0.500



No. 11
## Cu2HCBr (meta-GGA SCAN)

Data for a crystal of Cu2HCBr relaxed with PBEsol.

- Space-group type: P4/mmm
- Uncorrected energy: -10.765 eV/atom

a b c (Å): 4.579 4.579 3.133
angles (deg): 90.00 90.00 90.00
Fractional coordinates of all 5 atoms:
Cu 0.000 0.500 0.000
Cu 0.500 0.000 0.000
H 0.000 0.000 0.500
C 0.500 0.500 0.500
Br 0.000 0.000 0.000



No. 12
## Nb2CBrF (meta-GGA SCAN)

Data for a crystal of Nb2CBrF relaxed with PBEsol.

- Space-group type: P4/mmm
- ΔE_f (raw): 1.355 eV per atom
- Uncorrected energy: -18.517 eV/atom

a b c (Å): 4.159 4.159 4.683
angles (deg): 90.00 90.00 90.00
Fractional coordinates of all 5 atoms:
Nb 0.000 0.500 0.000
Nb 0.500 0.000 0.000
C 0.000 0.000 0.500
Br 0.500 0.500 0.500
F 0.500 0.500 0.000